(1)
# PBE-GGA KLi2Ni2, optimized geometry
data_KLi2Ni2
_cell_length_a 4.5566
_cell_length_b 4.5566
_cell_length_c 9.4939
_cell_angle_alpha 90.00
_cell_angle_beta 90.00
_cell_angle_gamma 90.00
_space_group_name_H-M_alt 'I 4/m m m'
_space_group_IT_number 139
_space_group_name_Hall '-I 4 2'
loop_
_atom_site_label
_atom_site_fract_x
_atom_site_fract_y
_atom_site_fract_z
K1 0.0000 0.0000 0.0000
Li1 0.0000 0.5000 0.2500
Ni1 0.0000 0.0000 0.3802
# Magnetic moment in μB/atom: 0.12
# Energy above the most stable polymorph in this dataset in meV/atom: 107
# Uncorrected energy in eV/atom: -2.834
# Calculated volume in Å³ per atom: 19.71

(2)
# PBE-GGA ReOsAu2, optimized geometry
data_ReOsAu2
_cell_length_a 2.8559
_cell_length_b 2.8559
_cell_length_c 8.1246
_cell_angle_alpha 90.00
_cell_angle_beta 90.00
_cell_angle_gamma 90.00
_space_group_name_H-M_alt 'P 4 m m'
_space_group_IT_number 99
_space_group_name_Hall 'P 4 -2'
loop_
_atom_site_label
_atom_site_fract_x
_atom_site_fract_y
_atom_site_fract_z
Re1 0.0000 0.0000 0.0000
Os1 0.5000 0.5000 0.8033
Au1 0.0000 0.0000 0.5372
Au2 0.5000 0.5000 0.2632
# Magnetic moment in μB/atom: 0.00
# Energy above the most stable polymorph in this dataset in meV/atom: 0
# Uncorrected energy in eV/atom: -7.340
# Calculated volume in Å³ per atom: 16.57

(3)
# PBE-GGA CaP4Pd6, optimized geometry
data_CaP4Pd6
_cell_length_a 6.6025
_cell_length_b 6.6025
_cell_length_c 8.6127
_cell_angle_alpha 90.00
_cell_angle_beta 90.00
_cell_angle_gamma 90.00
_space_group_name_H-M_alt 'I -4 2 m'
_space_group_IT_number 121
_space_group_name_Hall 'I -4 2'
loop_
_atom_site_label
_atom_site_fract_x
_atom_site_fract_y
_atom_site_fract_z
Ca1 0.0000 0.0000 0.0000
P1 0.2153 0.2153 0.3650
Pd1 0.0000 0.5000 0.0000
Pd2 0.1503 0.1503 0.6374
# Magnetic moment in μB/atom: 0.00
# Uncorrected energy in eV/atom: -5.505
# Calculated volume in Å³ per atom: 17.07

(4)
# PBE-GGA Co3SiH, optimized geometry
data_Co3SiH
_cell_length_a 2.4842
_cell_length_b 4.8962
_cell_length_c 10.8227
_cell_angle_alpha 90.00
_cell_angle_beta 90.00
_cell_angle_gamma 90.00
_space_group_name_H-M_alt 'A m m 2'
_space_group_IT_number 38
_space_group_name_Hall 'A 2 -2'
loop_
_atom_site_label
_atom_site_fract_x
_atom_site_fract_y
_atom_site_fract_z
Co1 0.0000 0.0000 0.0000
Co2 0.5000 0.2286 0.3574
Si1 0.5000 0.0000 0.1729
H1 0.0000 0.0000 0.8298
# Magnetic moment in μB/atom: 0.65
# Energy above the most stable polymorph in this dataset in meV/atom: 604
# Uncorrected energy in eV/atom: -5.696
# Calculated volume in Å³ per atom: 13.16

(5)
# PBE-GGA CaCeYLu, optimized geometry
data_CaCeYLu
_cell_length_a 8.1036
_cell_length_b 8.1036
_cell_length_c 8.1036
_cell_angle_alpha 90.00
_cell_angle_beta 90.00
_cell_angle_gamma 90.00
_space_group_name_H-M_alt 'F -4 3 m'
_space_group_IT_number 216
_space_group_name_Hall 'F -4 2 3'
loop_
_atom_site_label
_atom_site_fract_x
_atom_site_fract_y
_atom_site_fract_z
Ca1 0.0000 0.0000 0.0000
Ce1 0.0000 0.0000 0.5000
Y1 0.2500 0.2500 0.7500
Lu1 0.2500 0.2500 0.2500
# Magnetic moment in μB/atom: 0.44
# Uncorrected energy in eV/atom: -4.496
# Calculated volume in Å³ per atom: 33.26

(6)
# PBE-GGA Nd6Tl2Au, optimized geometry
data_Nd6Tl2Au
_cell_length_a 9.0709
_cell_length_b 9.0709
_cell_length_c 3.9087
_cell_angle_alpha 90.00
_cell_angle_beta 90.00
_cell_angle_gamma 120.00
_space_group_name_H-M_alt 'P -6 2 m'
_space_group_IT_number 189
_space_group_name_Hall 'P -6 -2'
loop_
_atom_site_label
_atom_site_fract_x
_atom_site_fract_y
_atom_site_fract_z
Nd1 0.0000 0.3976 0.0000
Nd2 0.0000 0.7422 0.5000
Tl1 0.3333 0.6667 0.5000
Au1 0.0000 0.0000 0.0000
# Magnetic moment in μB/atom: 0.00
# Energy above the most stable polymorph in this dataset in meV/atom: 0
# Uncorrected energy in eV/atom: -4.423
# Calculated volume in Å³ per atom: 30.95

(7)
# PBE-GGA AlTl2Fe, optimized geometry
data_AlTl2Fe
_cell_length_a 6.8099
_cell_length_b 6.8099
_cell_length_c 6.8099
_cell_angle_alpha 90.00
_cell_angle_beta 90.00
_cell_angle_gamma 90.00
_space_group_name_H-M_alt 'F m -3 m'
_space_group_IT_number 225
_space_group_name_Hall '-F 4 2 3'
loop_
_atom_site_label
_atom_site_fract_x
_atom_site_fract_y
_atom_site_fract_z
Al1 0.0000 0.0000 0.0000
Tl1 0.2500 0.2500 0.2500
Fe1 0.0000 0.0000 0.5000
# Magnetic moment in μB/atom: 0.00
# Energy above the most stable polymorph in this dataset in meV/atom: 553
# Uncorrected energy in eV/atom: -3.412
# Calculated volume in Å³ per atom: 19.74

(8)
# PBE-GGA TmSc3, optimized geometry
data_TmSc3
_cell_length_a 7.4684
_cell_length_b 7.4684
_cell_length_c 7.4684
_cell_angle_alpha 90.00
_cell_angle_beta 90.00
_cell_angle_gamma 90.00
_space_group_name_H-M_alt 'F m -3 m'
_space_group_IT_number 225
_space_group_name_Hall '-F 4 2 3'
loop_
_atom_site_label
_atom_site_fract_x
_atom_site_fract_y
_atom_site_fract_z
Tm1 0.0000 0.0000 0.0000
Sc1 0.0000 0.0000 0.5000
Sc2 0.2500 0.2500 0.2500
# Magnetic moment in μB/atom: 0.01
# Energy above the most stable polymorph in this dataset in meV/atom: 103
# Uncorrected energy in eV/atom: -5.750
# Calculated volume in Å³ per atom: 26.04

(9)
# PBE-GGA ZnP2Os, optimized geometry
data_ZnP2Os
_cell_length_a 3.7403
_cell_length_b 3.7403
_cell_length_c 7.9206
_cell_angle_alpha 90.00
_cell_angle_beta 90.00
_cell_angle_gamma 90.00
_space_group_name_H-M_alt 'I -4 m 2'
_space_group_IT_number 119
_space_group_name_Hall 'I -4 -2'
loop_
_atom_site_label
_atom_site_fract_x
_atom_site_fract_y
_atom_site_fract_z
Zn1 0.0000 0.0000 0.0000
P1 0.0000 0.0000 0.5000
P2 0.0000 0.5000 0.2500
Os1 0.0000 0.5000 0.7500
# Magnetic moment in μB/atom: 0.00
# Uncorrected energy in eV/atom: -5.324
# Calculated volume in Å³ per atom: 13.85

(10)
# PBE-GGA LaPm14Sc, optimized geometry
data_LaPm14Sc
_cell_length_a 10.2599
_cell_length_b 10.2778
_cell_length_c 10.2781
_cell_angle_alpha 90.00
_cell_angle_beta 90.00
_cell_angle_gamma 90.00
_space_group_name_H-M_alt 'A m m 2'
_space_group_IT_number 38
_space_group_name_Hall 'A 2 -2'
loop_
_atom_site_label
_atom_site_fract_x
_atom_site_fract_y
_atom_site_fract_z
La1 0.0000 0.0000 0.0000
Pm1 0.0000 0.2503 0.2498
Pm2 0.2470 0.0000 0.2533
Pm3 0.2471 0.0000 0.7462
Pm4 0.2470 0.2464 0.4997
Pm5 0.5000 0.0000 0.4998
Pm6 0.5000 0.0000 0.9995
Pm7 0.5000 0.2498 0.2497
Sc1 0.0000 0.0000 0.4998
# Magnetic moment in μB/atom: 0.00
# Uncorrected energy in eV/atom: -4.838
# Calculated volume in Å³ per atom: 33.87

(11)
# PBE-GGA CrGaRu, optimized geometry
data_CrGaRu
_cell_length_a 8.4854
_cell_length_b 2.8062
_cell_length_c 8.3502
_cell_angle_alpha 90.00
_cell_angle_beta 120.36
_cell_angle_gamma 90.00
_space_group_name_H-M_alt 'C 1 2/m 1'
_space_group_IT_number 12
_space_group_name_Hall '-C 2y'
loop_
_atom_site_label
_atom_site_fract_x
_atom_site_fract_y
_atom_site_fract_z
Cr1 0.0935 0.0000 0.4432
Ga1 0.0971 0.0000 0.9159
Ru1 0.2062 0.5000 0.2440
# Magnetic moment in μB/atom: 0.00
# Uncorrected energy in eV/atom: -7.113
# Calculated volume in Å³ per atom: 14.30

(12)
# PBE-GGA Th3AlFe, optimized geometry
data_Th3AlFe
_cell_length_a 6.8914
_cell_length_b 4.8273
_cell_length_c 7.9481
_cell_angle_alpha 90.00
_cell_angle_beta 90.10
_cell_angle_gamma 90.00
_space_group_name_H-M_alt 'P 1 21/m 1'
_space_group_IT_number 11
_space_group_name_Hall '-P 2yb'
loop_
_atom_site_label
_atom_site_fract_x
_atom_site_fract_y
_atom_site_fract_z
Th1 0.0015 0.2500 0.1601
Th2 0.2497 0.2500 0.5719
Th3 0.4979 0.2500 0.1602
Al1 0.2499 0.7500 0.3284
Fe1 0.2500 0.2500 0.9009
# Magnetic moment in μB/atom: 0.00
# Energy above the most stable polymorph in this dataset in meV/atom: 61
# Uncorrected energy in eV/atom: -6.939
# Calculated volume in Å³ per atom: 26.44